[1]
RbMnPt: optimized geometry, PBE.

```
RbMnPt
1.0
4.366 0.000 0.000
0.000 4.366 0.000
0.000 0.000 9.153
Rb Mn Pt
2 2 2
direct
0.250 0.250 0.169 Rb
0.750 0.750 0.831 Rb
0.250 0.750 0.500 Mn
0.750 0.250 0.500 Mn
0.250 0.250 0.651 Pt
0.750 0.750 0.349 Pt
```

density	6.39	g/cm3
energy relative to the elements	41	meV/atom
excess energy over the best structure of this formula in the dataset	0.189	kcal/mol of atoms
calculated total energy	-16.056	eV/f.u.
symmetry	P4/nmm, No. 129

[2]
YTl: optimized geometry, PBE.

```
YTl
1.0
11.789 0.000 0.000
0.000 11.789 0.000
0.000 0.000 3.616
Y Tl
8 8
direct
0.096 0.633 0.000 Y
0.158 0.379 0.500 Y
0.367 0.096 0.000 Y
0.379 0.842 0.500 Y
0.621 0.158 0.500 Y
0.633 0.904 0.000 Y
0.842 0.621 0.500 Y
0.904 0.367 0.000 Y
0.093 0.159 0.000 Tl
0.159 0.907 0.000 Tl
0.332 0.578 0.500 Tl
0.422 0.332 0.500 Tl
0.578 0.668 0.500 Tl
0.668 0.422 0.500 Tl
0.841 0.093 0.000 Tl
0.907 0.841 0.000 Tl
```

density	7.75	g/cm3
energy relative to the elements	-58	meV/atom
calculated total energy	-8.947	eV/f.u.
symmetry	P4/m, No. 83

[3]
TaBe2Si: optimized geometry, PBE.

```
TaBe2Si
1.0
6.485 0.000 0.000
0.000 6.485 0.000
0.000 0.000 4.946
Ta Be Si
4 8 4
direct
0.000 0.000 0.000 Ta
0.000 0.500 0.250 Ta
0.500 0.000 0.750 Ta
0.500 0.500 0.500 Ta
0.214 0.250 0.625 Be
0.250 0.714 0.875 Be
0.250 0.786 0.375 Be
0.286 0.250 0.125 Be
0.714 0.750 0.125 Be
0.750 0.214 0.375 Be
0.750 0.286 0.875 Be
0.786 0.750 0.625 Be
0.000 0.000 0.500 Si
0.000 0.500 0.750 Si
0.500 0.000 0.250 Si
0.500 0.500 0.000 Si
```

density	7.25	g/cm3
uncorrected formation energy	25.0	kJ per mole of atoms
calculated total energy	-23.692	eV/f.u.
symmetry	I-42d, No. 122

[4]
AlZnGaNi: optimized geometry, PBE.

```
AlZnGaNi
1.0
6.067 0.000 0.000
0.000 6.067 0.000
0.000 0.000 6.067
Al Zn Ga Ni
4 4 4 4
direct
0.000 0.000 0.000 Al
0.000 0.500 0.500 Al
0.500 0.000 0.500 Al
0.500 0.500 0.000 Al
0.250 0.250 0.750 Zn
0.250 0.750 0.250 Zn
0.750 0.250 0.250 Zn
0.750 0.750 0.750 Zn
0.000 0.000 0.500 Ga
0.000 0.500 0.000 Ga
0.500 0.000 0.000 Ga
0.500 0.500 0.500 Ga
0.250 0.250 0.250 Ni
0.250 0.750 0.750 Ni
0.750 0.250 0.750 Ni
0.750 0.750 0.250 Ni
```

density	6.57	g/cm3
energy relative to the elements	-59	meV/atom
calculated total energy	-14.059	eV/f.u.
symmetry	F-43m, No. 216